(a)
# HgPCCl2 (PBE-GGA, optimized geometry)
# Crystal system: tetragonal
data_HgPCCl2
_chemical_formula_sum 'Hg1 P1 C1 Cl2'
_symmetry_space_group_name_H-M 'P 4/m m m'
_symmetry_Int_Tables_number 123
_symmetry_space_group_name_Hall '-P 4 2'
_cell_length_a 5.328
_cell_length_b 5.328
_cell_length_c 5.108
_cell_angle_alpha 90.00
_cell_angle_beta 90.00
_cell_angle_gamma 90.00
loop_
_atom_site_label
_atom_site_type_symbol
_atom_site_fract_x
_atom_site_fract_y
_atom_site_fract_z
Hg1 Hg 0.000 0.000 0.000
P1 P 0.000 0.000 0.500
C1 C 0.500 0.500 0.500
Cl1 Cl 0.000 0.500 0.000

---

(b)
# HgPCCl2 (PBE-GGA, optimized geometry)
# Crystal system: tetragonal
data_HgPCCl2
_chemical_formula_sum 'Hg1 P1 C1 Cl2'
_symmetry_space_group_name_H-M 'P 4/m m m'
_symmetry_Int_Tables_number 123
_symmetry_space_group_name_Hall '-P 4 2'
_cell_length_a 5.531
_cell_length_b 5.531
_cell_length_c 3.463
_cell_angle_alpha 90.00
_cell_angle_beta 90.00
_cell_angle_gamma 90.00
loop_
_atom_site_label
_atom_site_type_symbol
_atom_site_fract_x
_atom_site_fract_y
_atom_site_fract_z
Hg1 Hg 0.000 0.000 0.000
P1 P 0.500 0.500 0.000
C1 C 0.500 0.500 0.500
Cl1 Cl 0.000 0.500 0.500

---

Most stable: (b)

---

(a)
# P2CICl (PBE-GGA, optimized geometry)
# Crystal system: tetragonal
data_P2CICl
_chemical_formula_sum 'P2 C1 I1 Cl1'
_symmetry_space_group_name_H-M 'P 4/m m m'
_symmetry_Int_Tables_number 123
_symmetry_space_group_name_Hall '-P 4 2'
_cell_length_a 5.370
_cell_length_b 5.370
_cell_length_c 5.302
_cell_angle_alpha 90.00
_cell_angle_beta 90.00
_cell_angle_gamma 90.00
loop_
_atom_site_label
_atom_site_type_symbol
_atom_site_fract_x
_atom_site_fract_y
_atom_site_fract_z
P1 P 0.000 0.500 0.000
C1 C 0.000 0.000 0.500
I1 I 0.500 0.500 0.000
Cl1 Cl 0.500 0.500 0.500

---

(b)
# P2CICl (PBE-GGA, optimized geometry)
# Crystal system: tetragonal
data_P2CICl
_chemical_formula_sum 'P2 C1 I1 Cl1'
_symmetry_space_group_name_H-M 'P 4/m m m'
_symmetry_Int_Tables_number 123
_symmetry_space_group_name_Hall '-P 4 2'
_cell_length_a 4.380
_cell_length_b 4.380
_cell_length_c 4.440
_cell_angle_alpha 90.00
_cell_angle_beta 90.00
_cell_angle_gamma 90.00
loop_
_atom_site_label
_atom_site_type_symbol
_atom_site_fract_x
_atom_site_fract_y
_atom_site_fract_z
P1 P 0.000 0.500 0.000
C1 C 0.000 0.000 0.000
I1 I 0.500 0.500 0.500
Cl1 Cl 0.000 0.000 0.500

---

Most stable: (b)

---

(a)
# InP2CCl (PBE-GGA, optimized geometry)
# Crystal system: tetragonal
data_InP2CCl
_chemical_formula_sum 'In1 P2 C1 Cl1'
_symmetry_space_group_name_H-M 'P 4/m m m'
_symmetry_Int_Tables_number 123
_symmetry_space_group_name_Hall '-P 4 2'
_cell_length_a 5.157
_cell_length_b 5.157
_cell_length_c 5.070
_cell_angle_alpha 90.00
_cell_angle_beta 90.00
_cell_angle_gamma 90.00
loop_
_atom_site_label
_atom_site_type_symbol
_atom_site_fract_x
_atom_site_fract_y
_atom_site_fract_z
In1 In 0.000 0.000 0.000
P1 P 0.000 0.500 0.000
C1 C 0.500 0.500 0.500
Cl1 Cl 0.000 0.000 0.500

---

(b)
# InP2CCl (PBE-GGA, optimized geometry)
# Crystal system: tetragonal
data_InP2CCl
_chemical_formula_sum 'In1 P2 C1 Cl1'
_symmetry_space_group_name_H-M 'P 4/m m m'
_symmetry_Int_Tables_number 123
_symmetry_space_group_name_Hall '-P 4 2'
_cell_length_a 3.928
_cell_length_b 3.928
_cell_length_c 6.928
_cell_angle_alpha 90.00
_cell_angle_beta 90.00
_cell_angle_gamma 90.00
loop_
_atom_site_label
_atom_site_type_symbol
_atom_site_fract_x
_atom_site_fract_y
_atom_site_fract_z
In1 In 0.000 0.000 0.000
P1 P 0.000 0.500 0.500
C1 C 0.500 0.500 0.500
Cl1 Cl 0.500 0.500 0.000

---

Most stable: (b)